Entry 1:
LaAs2Rh7Pb2, optimized geometry, DFT PBE-GGA; space-group type = C2/m; ΔH_f (0 K) = -220 meV/atom
1.0
-1.633 -2.124 3.027
0.744 -3.445 -1.979
12.346 -2.501 6.523
Rh Pb As La
7 2 2 1
Direct
0.954 0.455 0.157
0.618 0.618 0.577
0.500 0.500 0.000
0.455 0.954 0.157
0.545 0.046 0.843
0.046 0.545 0.843
0.382 0.382 0.423
0.894 0.894 0.390
0.106 0.106 0.610
0.574 0.574 0.749
0.426 0.426 0.251
0.000 0.000 0.000


Entry 2:
LaAs2Rh5Pb, optimized geometry, DFT PBE-GGA; space-group type = P4/mmm; ΔH_f (0 K) = -450 meV/atom
1.0
-0.828 2.327 -3.311
-0.984 -3.394 -2.139
-10.287 0.943 3.236
La As Rh Pb
1 2 5 1
Direct
0.000 0.000 0.500
0.500 0.500 0.280
0.500 0.500 0.720
0.500 0.000 0.169
0.500 0.500 0.500
0.000 0.500 0.169
0.000 0.500 0.831
0.500 0.000 0.831
0.000 0.000 0.000


Entry 3:
La2As3Rh4Pb, optimized geometry, DFT PBE-GGA; space-group type = P-4m2; ΔH_f (0 K) = -812 meV/atom
1.0
4.232 0.000 0.000
0.000 4.232 0.000
0.000 0.000 11.149
La Pb As Rh
2 1 3 4
Direct
0.000 0.500 0.760
0.500 0.000 0.240
0.500 0.500 0.500
0.000 0.000 0.500
0.000 0.500 0.126
0.500 0.000 0.874
0.500 0.000 0.659
0.000 0.500 0.341
0.500 0.500 0.000
0.000 0.000 0.000


Entry 4:
LaAsRu2Pb, optimized geometry, DFT PBE-GGA; space-group type = P4/mmm; ΔH_f (0 K) = 1279 meV/atom
1.0
-0.456 4.150 -2.673
0.048 -3.282 -5.104
-4.937 -0.405 0.214
La Pb Ru As
1 1 2 1
Direct
0.000 0.500 0.000
0.000 0.000 0.000
0.000 0.000 0.500
0.500 0.000 0.000
0.500 0.500 0.500


Entry 5:
La4AsPbS2, optimized geometry, DFT PBE-GGA; space-group type = P2/m; ΔE_f (raw) = -1.58 eV/atom
1.0
-1.412 3.332 2.429
-4.112 -4.737 4.108
4.117 -2.534 5.870
La Pb S As
4 1 2 1
Direct
0.000 0.766 0.735
0.500 0.758 0.256
0.500 0.242 0.744
0.000 0.234 0.265
0.500 0.500 0.000
0.000 0.000 0.000
0.500 0.000 0.500
0.000 0.500 0.500


Entry 6:
La4Sb2AsPb, optimized geometry, DFT PBE-GGA; space-group type = P2/m; ΔE_f (raw) = -1.11 eV/atom
1.0
4.528 0.000 0.000
0.000 7.850 -0.153
0.000 2.767 7.577
La Pb Sb As
4 1 2 1
Direct
0.500 0.740 0.264
0.500 0.260 0.736
0.000 0.749 0.738
0.000 0.251 0.262
0.500 0.500 0.000
0.500 0.000 0.500
0.000 0.000 0.000
0.000 0.500 0.500


Entry 7:
La4AsPbSe2, optimized geometry, DFT PBE-GGA; space-group type = P2/m; ΔE_f (raw) = -1.54 eV/atom
1.0
4.447 0.000 0.000
0.000 7.642 -0.128
0.000 2.713 7.220
La Se As Pb
4 2 1 1
Direct
0.000 0.755 0.740
0.500 0.253 0.741
0.500 0.747 0.259
0.000 0.245 0.260
0.500 0.000 0.500
0.000 0.000 0.000
0.000 0.500 0.500
0.500 0.500 0.000


Entry 8:
La6As2PbSe3, optimized geometry, DFT PBE-GGA; space-group type = C2/m; ΔE_f (raw) = -1.64 eV/atom
1.0
4.413 0.000 0.000
0.000 8.798 0.346
-2.207 -2.507 9.259
Pb As La Se
1 2 6 3
Direct
0.500 0.000 0.000
0.168 0.336 0.337
0.832 0.664 0.663
0.670 0.092 0.341
0.997 0.739 0.994
0.330 0.908 0.659
0.669 0.578 0.338
0.331 0.422 0.662
0.003 0.261 0.006
0.166 0.832 0.331
0.834 0.168 0.669
0.500 0.500 0.000


| no. | DOS at the Fermi energy (states/eV per atom) |
| --- | --- |
| 1 | 0.83 |
| 2 | 0.58 |
| 3 | 0.72 |
| 4 | 1.42 |
| 5 | 0.39 |
| 6 | 0.70 |
| 7 | 0.32 |
| 8 | 0.41 |